SmEuSe2 | PBEsol | relaxed

Cell: 4.1446 4.1446 20.5042 Å, 90.00 90.00 120.00°
Fractional positions:
Sm  0.0000  0.0000  0.0000
Sm  0.3333  0.6667  0.6667
Sm  0.6667  0.3333  0.3333
Eu  0.0000  0.0000  0.5000
Eu  0.3333  0.6667  0.1667
Eu  0.6667  0.3333  0.8333
Se  0.0000  0.0000  0.2515
Se  0.0000  0.0000  0.7485
Se  0.3333  0.6667  0.4152
Se  0.3333  0.6667  0.9182
Se  0.6667  0.3333  0.0818
Se  0.6667  0.3333  0.5848

* E_form (uncorrected): -1.9897 eV/atom
* total magnetic moment: 6.90 μB per formula unit
* space-group type: No. 166



SrEu4Se5 | PBEsol | relaxed

Cell: 7.3860 7.3860 10.4476 Å, 118.13 118.13 33.54°
Fractional positions:
Sr  0.0000  0.0000  0.0000
Eu  0.2008  0.2008  0.7981
Eu  0.4010  0.4010  0.6000
Eu  0.5990  0.5990  0.4000
Eu  0.7992  0.7992  0.2019
Se  0.0000  0.0000  0.5000
Se  0.2016  0.2016  0.3044
Se  0.3969  0.3969  0.1026
Se  0.6031  0.6031  0.8974
Se  0.7984  0.7984  0.6956

* E_form (uncorrected): -2.0622 eV/atom
* total magnetic moment: 27.95 μB per formula unit
* space-group type: No. 12



Tb2EuSe4 | PBEsol | relaxed

Cell: 11.6669 4.1120 14.7960 Å, 90.00 90.00 90.00°
Fractional positions:
Tb  0.0623  0.2500  0.1045
Tb  0.1061  0.2500  0.5995
Tb  0.3939  0.7500  0.0995
Tb  0.4377  0.7500  0.6045
Tb  0.5623  0.2500  0.3955
Tb  0.6061  0.2500  0.9005
Tb  0.8939  0.7500  0.4005
Tb  0.9377  0.7500  0.8955
Eu  0.2373  0.7500  0.3402
Eu  0.2627  0.2500  0.8402
Eu  0.7373  0.7500  0.1598
Eu  0.7627  0.2500  0.6598
Se  0.0061  0.2500  0.7825
Se  0.0659  0.2500  0.4111
Se  0.1572  0.7500  0.9864
Se  0.2279  0.7500  0.6923
Se  0.2721  0.2500  0.1923
Se  0.3428  0.2500  0.4864
Se  0.4341  0.7500  0.9111
Se  0.4939  0.7500  0.2825
Se  0.5061  0.2500  0.7175
Se  0.5659  0.2500  0.0889
Se  0.6572  0.7500  0.5136
Se  0.7279  0.7500  0.8077
Se  0.7721  0.2500  0.3077
Se  0.8428  0.2500  0.0136
Se  0.9341  0.7500  0.5889
Se  0.9939  0.7500  0.2175

* E_form (uncorrected): -1.9450 eV/atom
* total magnetic moment: 6.97 μB per formula unit
* space-group type: No. 62



EuZrSe3 | PBEsol | relaxed

Cell: 8.6738 3.8933 14.0524 Å, 90.00 90.00 90.00°
Fractional positions:
Eu  0.0615  0.2500  0.1770
Eu  0.4385  0.7500  0.6770
Eu  0.5615  0.2500  0.3230
Eu  0.9385  0.7500  0.8230
Zr  0.1697  0.7500  0.4453
Zr  0.3303  0.2500  0.9453
Zr  0.6697  0.7500  0.0547
Zr  0.8303  0.2500  0.5547
Se  0.0230  0.7500  0.6133
Se  0.1529  0.7500  0.0169
Se  0.2044  0.2500  0.7774
Se  0.2956  0.7500  0.2774
Se  0.3471  0.2500  0.5169
Se  0.4770  0.2500  0.1133
Se  0.5230  0.7500  0.8867
Se  0.6529  0.7500  0.4831
Se  0.7044  0.2500  0.7226
Se  0.7956  0.7500  0.2226
Se  0.8471  0.2500  0.9831
Se  0.9770  0.2500  0.3867

* E_form (uncorrected): -1.6318 eV/atom
* total magnetic moment: 6.86 μB per formula unit
* space-group type: No. 62



EuSi2 | PBEsol | relaxed

Cell: 4.0562 4.0562 4.1116 Å, 90.00 90.00 120.00°
Fractional positions:
Eu  0.0000  0.0000  0.0000
Si  0.3333  0.6667  0.5000
Si  0.6667  0.3333  0.5000

* E_form (uncorrected): -0.5931 eV/atom
* total magnetic moment: 6.90 μB per formula unit
* space-group type: No. 191



EuSi2 | PBEsol | relaxed

Cell: 4.1535 4.1535 13.6989 Å, 90.00 90.00 90.00°
Fractional positions:
Eu  0.0000  0.2500  0.3750
Eu  0.0000  0.7500  0.6250
Eu  0.5000  0.2500  0.1250
Eu  0.5000  0.7500  0.8750
Si  0.0000  0.2500  0.7910
Si  0.0000  0.2500  0.9590
Si  0.0000  0.7500  0.0410
Si  0.0000  0.7500  0.2090
Si  0.5000  0.2500  0.5410
Si  0.5000  0.2500  0.7090
Si  0.5000  0.7500  0.2910
Si  0.5000  0.7500  0.4590

* E_form (uncorrected): -0.6251 eV/atom
* total magnetic moment: 6.90 μB per formula unit
* space-group type: No. 141



EuSi | PBEsol | relaxed

Cell: 4.4686 10.9085 3.8996 Å, 90.00 90.00 90.00°
Fractional positions:
Eu  0.0000  0.1421  0.2500
Eu  0.0000  0.8579  0.7500
Eu  0.5000  0.3579  0.7500
Eu  0.5000  0.6421  0.2500
Si  0.0000  0.4334  0.2500
Si  0.0000  0.5666  0.7500
Si  0.5000  0.0666  0.7500
Si  0.5000  0.9334  0.2500

* E_form (uncorrected): -0.6793 eV/atom
* total magnetic moment: 7.12 μB per formula unit
* space-group type: No. 63



SrEuSi4 | PBEsol | relaxed

Cell: 4.2785 4.2785 13.6807 Å, 90.00 90.00 90.00°
Fractional positions:
Sr  0.0000  0.0000  0.0000
Sr  0.5000  0.5000  0.5000
Eu  0.0000  0.5000  0.2500
Eu  0.5000  0.0000  0.7500
Si  0.0000  0.0000  0.4142
Si  0.0000  0.0000  0.5858
Si  0.0000  0.5000  0.6667
Si  0.0000  0.5000  0.8333
Si  0.5000  0.0000  0.1667
Si  0.5000  0.0000  0.3333
Si  0.5000  0.5000  0.0858
Si  0.5000  0.5000  0.9142

* E_form (uncorrected): -0.5182 eV/atom
* total magnetic moment: 6.86 μB per formula unit
* space-group type: No. 119



Look up the total magnetic moment of the first one. 6.90 μB per formula unit